The following is a DFT calculation (PBE) of a relaxed ZnFeNi6 crystal.

Summary:
- Excess energy over the best structure of this formula in the dataset: 324 meV per atom
- Formation enthalpy at 0 K: 0.21 eV/atom

Cell and atoms, written as CIF:
```
data_ZnFeNi6
_chemical_formula_sum 'Zn2 Fe2 Ni12'
_cell_length_a 7.081
_cell_length_b 4.776
_cell_length_c 6.342
_cell_angle_alpha 90.00
_cell_angle_beta 107.67
_cell_angle_gamma 90.00
_symmetry_space_group_name_H-M 'C 1 2/m 1'
_symmetry_Int_Tables_number 12
loop_
_symmetry_equiv_pos_as_xyz
'x,y,z'
'-x,-y,-z'
'-x,y,-z'
'x,-y,z'
'x+1/2,y+1/2,z'
'-x+1/2,-y+1/2,-z'
'-x+1/2,y+1/2,-z'
'x+1/2,-y+1/2,z'
loop_
_atom_site_label
_atom_site_type_symbol
_atom_site_fract_x
_atom_site_fract_y
_atom_site_fract_z
_atom_site_occupancy
Zn1 Zn 0.000 0.000 0.000 1
Fe1 Fe 0.000 0.500 0.500 1
Ni1 Ni 0.133 0.000 0.426 1
Ni2 Ni 0.201 0.240 0.797 1
```


The following is a DFT calculation (PBE) of a relaxed ZnFe2Ni2 crystal.

Summary:
- Excess energy over the best structure of this formula in the dataset: 0 meV per atom
- Formation enthalpy at 0 K: 0.05 eV/atom

Cell and atoms, written as CIF:
```
data_ZnFe2Ni2
_chemical_formula_sum 'Zn2 Fe4 Ni4'
_cell_length_a 6.929
_cell_length_b 6.929
_cell_length_c 2.589
_cell_angle_alpha 90.00
_cell_angle_beta 90.00
_cell_angle_gamma 90.00
_symmetry_space_group_name_H-M 'P 4/m b m'
_symmetry_Int_Tables_number 127
_symmetry_space_group_name_Hall '-P 4 2ab'
loop_
_atom_site_label
_atom_site_type_symbol
_atom_site_fract_x
_atom_site_fract_y
_atom_site_fract_z
_atom_site_occupancy
Zn1 Zn 0.000 0.000 0.000 1
Fe1 Fe 0.168 0.332 0.500 1
Ni1 Ni 0.127 0.627 0.000 1
```


The following is a DFT calculation (PBE) of a relaxed ZnFeNi crystal.

Summary:
- Excess energy over the best structure of this formula in the dataset: 25 meV per atom
- Formation enthalpy at 0 K: -0.05 eV/atom

Cell and atoms, written as CIF:
```
data_ZnFeNi
_chemical_formula_sum 'Zn2 Fe2 Ni2'
_cell_length_a 2.579
_cell_length_b 3.651
_cell_length_c 7.692
_cell_angle_alpha 90.00
_cell_angle_beta 90.00
_cell_angle_gamma 90.00
_symmetry_space_group_name_H-M 'I m m 2'
_symmetry_Int_Tables_number 44
loop_
_symmetry_equiv_pos_as_xyz
'x,y,z'
'-x,-y,z'
'-x,y,z'
'x,-y,z'
'x+1/2,y+1/2,z+1/2'
'-x+1/2,-y+1/2,z+1/2'
'-x+1/2,y+1/2,z+1/2'
'x+1/2,-y+1/2,z+1/2'
loop_
_atom_site_label
_atom_site_type_symbol
_atom_site_fract_x
_atom_site_fract_y
_atom_site_fract_z
_atom_site_occupancy
Zn1 Zn 0.000 0.000 0.000 1
Fe1 Fe 0.000 0.000 0.670 1
Ni1 Ni 0.000 0.000 0.333 1
```


The following is a DFT calculation (PBE) of a relaxed ZnFe2Ni crystal.

Summary:
- Formation enthalpy at 0 K: 0.00 eV/atom

Cell and atoms, written as CIF:
```
data_ZnFe2Ni
_chemical_formula_sum 'Zn2 Fe4 Ni2'
_cell_length_a 8.404
_cell_length_b 2.537
_cell_length_c 4.534
_cell_angle_alpha 90.00
_cell_angle_beta 99.20
_cell_angle_gamma 90.00
_symmetry_space_group_name_H-M 'C 1 m 1'
_symmetry_Int_Tables_number 8
loop_
_symmetry_equiv_pos_as_xyz
'x,y,z'
'x,-y,z'
'x+1/2,y+1/2,z'
'x+1/2,-y+1/2,z'
loop_
_atom_site_label
_atom_site_type_symbol
_atom_site_fract_x
_atom_site_fract_y
_atom_site_fract_z
_atom_site_occupancy
Zn1 Zn 0.000 0.000 0.000 1
Fe1 Fe 0.245 0.000 0.743 1
Fe2 Fe 0.493 0.000 0.495 1
Ni1 Ni 0.250 0.500 0.249 1
```


The following is a DFT calculation (PBE) of a relaxed ZnFe2Ni crystal.

Summary:
- Formation enthalpy at 0 K: 0.05 eV/atom

Cell and atoms, written as CIF:
```
data_ZnFe2Ni
_chemical_formula_sum 'Zn3 Fe6 Ni3'
_cell_length_a 2.5675
_cell_length_b 2.5675
_cell_length_c 25.3168
_cell_angle_alpha 90.00
_cell_angle_beta 90.00
_cell_angle_gamma 120.00
_symmetry_space_group_name_H-M 'R 3 m'
_symmetry_Int_Tables_number 160
_symmetry_space_group_name_Hall 'R 3 -2"'
loop_
_atom_site_label
_atom_site_type_symbol
_atom_site_fract_x
_atom_site_fract_y
_atom_site_fract_z
_atom_site_occupancy
Zn1 Zn 0.0000 0.0000 0.0000 1
Fe1 Fe 0.0000 0.0000 0.2468 1
Fe2 Fe 0.0000 0.0000 0.4197 1
Ni1 Ni 0.0000 0.0000 0.8332 1
```


The following is a DFT calculation (PBE) of a relaxed Zn2FeNi9 crystal.

Summary:
- Formation enthalpy at 0 K: -0.11 eV/atom

Cell and atoms, written as CIF:
```
data_Zn2FeNi9
_chemical_formula_sum 'Zn2 Fe1 Ni9'
_cell_length_a 3.569
_cell_length_b 3.569
_cell_length_c 10.663
_cell_angle_alpha 90.00
_cell_angle_beta 90.00
_cell_angle_gamma 90.00
_symmetry_space_group_name_H-M 'P 4/m m m'
_symmetry_Int_Tables_number 123
_symmetry_space_group_name_Hall '-P 4 2'
loop_
_atom_site_label
_atom_site_type_symbol
_atom_site_fract_x
_atom_site_fract_y
_atom_site_fract_z
_atom_site_occupancy
Zn1 Zn 0.000 0.000 0.167 1
Fe1 Fe 0.000 0.000 0.500 1
Ni1 Ni 0.000 0.500 0.000 1
Ni2 Ni 0.000 0.500 0.338 1
Ni3 Ni 0.500 0.500 0.168 1
Ni4 Ni 0.500 0.500 0.500 1
```


The following is a DFT calculation (PBE) of a relaxed Zn3FeNi crystal.

Summary:
- Excess energy over the best structure of this formula in the dataset: 0 meV per atom
- Formation enthalpy at 0 K: 0.62 eV/atom

Cell and atoms, written as CIF:
```
data_Zn3FeNi
_chemical_formula_sum 'Zn3 Fe1 Ni1'
_cell_length_a 4.450
_cell_length_b 4.450
_cell_length_c 4.450
_cell_angle_alpha 90.00
_cell_angle_beta 90.00
_cell_angle_gamma 90.00
_symmetry_space_group_name_H-M 'P m -3 m'
_symmetry_Int_Tables_number 221
_symmetry_space_group_name_Hall '-P 4 2 3'
loop_
_atom_site_label
_atom_site_type_symbol
_atom_site_fract_x
_atom_site_fract_y
_atom_site_fract_z
_atom_site_occupancy
Zn1 Zn 0.000 0.000 0.500 1
Fe1 Fe 0.500 0.500 0.500 1
Ni1 Ni 0.000 0.000 0.000 1
```


The following is a DFT calculation (PBE) of a relaxed Zn2FeNi3 crystal.

Summary:
- Formation enthalpy at 0 K: -0.17 eV/atom

Cell and atoms, written as CIF:
```
data_Zn2FeNi3
_chemical_formula_sum 'Zn2 Fe1 Ni3'
_cell_length_a 2.643
_cell_length_b 2.643
_cell_length_c 10.182
_cell_angle_alpha 90.00
_cell_angle_beta 90.00
_cell_angle_gamma 90.00
_symmetry_space_group_name_H-M 'P 4/m m m'
_symmetry_Int_Tables_number 123
_symmetry_space_group_name_Hall '-P 4 2'
loop_
_atom_site_label
_atom_site_type_symbol
_atom_site_fract_x
_atom_site_fract_y
_atom_site_fract_z
_atom_site_occupancy
Zn1 Zn 0.000 0.000 0.167 1
Fe1 Fe 0.000 0.000 0.500 1
Ni1 Ni 0.500 0.500 0.000 1
Ni2 Ni 0.500 0.500 0.338 1
```


The following is a DFT calculation (PBE) of a relaxed ZnFe2Ni crystal.

Summary:
- Formation enthalpy at 0 K: -0.02 eV/atom

Cell and atoms, written as CIF:
```
data_ZnFe2Ni
_chemical_formula_sum 'Zn1 Fe2 Ni1'
_cell_length_a 2.544
_cell_length_b 3.697
_cell_length_c 5.091
_cell_angle_alpha 90.00
_cell_angle_beta 90.70
_cell_angle_gamma 90.00
_symmetry_space_group_name_H-M 'P 1 2/m 1'
_symmetry_Int_Tables_number 10
loop_
_symmetry_equiv_pos_as_xyz
'x,y,z'
'-x,-y,-z'
'-x,y,-z'
'x,-y,z'
loop_
_atom_site_label
_atom_site_type_symbol
_atom_site_fract_x
_atom_site_fract_y
_atom_site_fract_z
_atom_site_occupancy
Zn1 Zn 0.000 0.000 0.000 1
Fe1 Fe 0.499 0.500 0.742 1
Ni1 Ni 0.000 0.000 0.500 1
```


The following is a DFT calculation (PBE) of a relaxed Zn2FeNi8 crystal.

Summary:
- Formation enthalpy at 0 K: 0.12 eV/atom

Cell and atoms, written as CIF:
```
data_Zn2FeNi8
_chemical_formula_sum 'Zn4 Fe2 Ni16'
_cell_length_a 6.354
_cell_length_b 11.456
_cell_length_c 4.186
_cell_angle_alpha 90.00
_cell_angle_beta 119.23
_cell_angle_gamma 90.00
_symmetry_space_group_name_H-M 'C 1 2/m 1'
_symmetry_Int_Tables_number 12
loop_
_symmetry_equiv_pos_as_xyz
'x,y,z'
'-x,-y,-z'
'-x,y,-z'
'x,-y,z'
'x+1/2,y+1/2,z'
'-x+1/2,-y+1/2,-z'
'-x+1/2,y+1/2,-z'
'x+1/2,-y+1/2,z'
loop_
_atom_site_label
_atom_site_type_symbol
_atom_site_fract_x
_atom_site_fract_y
_atom_site_fract_z
_atom_site_occupancy
Zn1 Zn 0.000 0.194 0.000 1
Fe1 Fe 0.000 0.500 0.500 1
Ni1 Ni 0.000 0.296 0.500 1
Ni2 Ni 0.086 0.000 0.305 1
Ni3 Ni 0.210 0.391 0.149 1
```


The following is a DFT calculation (PBE) of a relaxed ZnFeNi3 crystal.

Summary:
- Excess energy over the best structure of this formula in the dataset: 0 meV per atom
- Formation enthalpy at 0 K: -0.10 eV/atom

Cell and atoms, written as CIF:
```
data_ZnFeNi3
_chemical_formula_sum 'Zn4 Fe4 Ni12'
_cell_length_a 12.742
_cell_length_b 3.643
_cell_length_c 5.030
_cell_angle_alpha 90.00
_cell_angle_beta 98.83
_cell_angle_gamma 90.00
_symmetry_space_group_name_H-M 'C 1 2/m 1'
_symmetry_Int_Tables_number 12
loop_
_symmetry_equiv_pos_as_xyz
'x,y,z'
'-x,-y,-z'
'-x,y,-z'
'x,-y,z'
'x+1/2,y+1/2,z'
'-x+1/2,-y+1/2,-z'
'-x+1/2,y+1/2,-z'
'x+1/2,-y+1/2,z'
loop_
_atom_site_label
_atom_site_type_symbol
_atom_site_fract_x
_atom_site_fract_y
_atom_site_fract_z
_atom_site_occupancy
Zn1 Zn 0.199 0.000 0.346 1
Fe1 Fe 0.097 0.500 0.035 1
Ni1 Ni 0.002 0.000 0.750 1
Ni2 Ni 0.098 0.500 0.543 1
Ni3 Ni 0.199 0.000 0.850 1
```


The following is a DFT calculation (PBE) of a relaxed ZnFeNi5 crystal.

Summary:
- Excess energy over the best structure of this formula in the dataset: 143 meV per atom
- Formation enthalpy at 0 K: 0.20 eV/atom

Cell and atoms, written as CIF:
```
data_ZnFeNi5
_chemical_formula_sum 'Zn2 Fe2 Ni10'
_cell_length_a 4.530
_cell_length_b 4.711
_cell_length_c 8.159
_cell_angle_alpha 90.00
_cell_angle_beta 90.00
_cell_angle_gamma 90.00
_symmetry_space_group_name_H-M 'I m m 2'
_symmetry_Int_Tables_number 44
loop_
_symmetry_equiv_pos_as_xyz
'x,y,z'
'-x,-y,z'
'-x,y,z'
'x,-y,z'
'x+1/2,y+1/2,z+1/2'
'-x+1/2,-y+1/2,z+1/2'
'-x+1/2,y+1/2,z+1/2'
'x+1/2,-y+1/2,z+1/2'
loop_
_atom_site_label
_atom_site_type_symbol
_atom_site_fract_x
_atom_site_fract_y
_atom_site_fract_z
_atom_site_occupancy
Zn1 Zn 0.000 0.000 0.000 1
Fe1 Fe 0.000 0.500 0.309 1
Ni1 Ni 0.000 0.000 0.277 1
Ni2 Ni 0.000 0.258 0.748 1
Ni3 Ni 0.246 0.500 0.028 1
```


Among the records above, which one has the highest formation enthalpy at 0 K? Zn3FeNi


Look up the formation enthalpy at 0 K of the sixth one. -0.11 eV/atom